[1]
The following is a PBE calculation of crystalline LaTlRe3 at its relaxed geometry, from Alexandria.

Values from the calculation:
The calculation puts the density of states at the Fermi level at 2.6342 states/eV/atom. For the total energy, the calculation gives -32.33 eV/cell. The energy relative to the elements is 56.75 kcal/mol of atoms. The calculation puts the energy above the most stable polymorph in this dataset at 0 meV/atom.

Lattice parameters (Å, degrees): 5.004 5.004 5.004 90.00 90.00 90.00
Space group Pm-3m (No. 221)
Unique sites:
La: 0.000 0.000 0.000 x1
Tl: 0.500 0.500 0.500 x1
Re: 0.000 0.500 0.500 x3

[2]
The following is a PBE calculation of crystalline La2TlRe at its relaxed geometry, from Alexandria.

Values from the calculation:
The calculation puts the density of states at the Fermi level at 1.1260 states/eV/atom. For the total energy, the calculation gives -67.29 eV/cell. The energy relative to the elements is 12.91 kcal/mol of atoms. The calculation puts the energy above the most stable polymorph in this dataset at 514 meV/atom.

Lattice parameters (Å, degrees): 3.5082 3.5082 29.8119 90.00 90.00 120.00
Space group R3m (No. 160, hexagonal axes)
Unique sites:
La: 0.0000 0.0000 0.0000 x3
La: 0.0000 0.0000 0.2311 x3
Tl: 0.0000 0.0000 0.4728 x3
Re: 0.0000 0.0000 0.7364 x3

[3]
The following is a PBE calculation of crystalline LaTl2Re at its relaxed geometry, from Alexandria.

Values from the calculation:
The calculation puts the density of states at the Fermi level at 0.9610 states/eV/atom. For the total energy, the calculation gives -40.87 eV/cell. The energy relative to the elements is 9.64 kcal/mol of atoms. The calculation puts the energy above the most stable polymorph in this dataset at 8 meV/atom.

Lattice parameters (Å, degrees): 3.563 5.232 10.677 90.00 90.00 90.00
Space group Immm (No. 71)
Unique sites:
La: 0.000 0.000 0.000 x2
Tl: 0.000 0.500 0.216 x4
Re: 0.000 0.000 0.500 x2

[4]
The following is a PBE calculation of crystalline La2TlRe at its relaxed geometry, from Alexandria.

Values from the calculation:
The calculation puts the density of states at the Fermi level at 0.9762 states/eV/atom. For the total energy, the calculation gives -93.15 eV/cell. The energy relative to the elements is 7.97 kcal/mol of atoms. The calculation puts the energy above the most stable polymorph in this dataset at 300 meV/atom.

Lattice parameters (Å, degrees): 8.598 8.598 6.128 90.00 90.00 90.00
Space group I-42d (No. 122)
Unique sites:
La: 0.183 0.250 0.125 x8
Tl: 0.000 0.000 0.500 x4
Re: 0.000 0.000 0.000 x4

[5]
The following is a PBE calculation of crystalline LaTl2Re at its relaxed geometry, from Alexandria.

Values from the calculation:
The calculation puts the density of states at the Fermi level at 0.9455 states/eV/atom. For the total energy, the calculation gives -20.35 eV/cell. The energy relative to the elements is 10.14 kcal/mol of atoms. The calculation puts the energy above the most stable polymorph in this dataset at 30 meV/atom.

Lattice parameters (Å, degrees): 3.533 3.533 8.257 90.00 90.00 90.00
Space group P4mm (No. 99)
Unique sites:
La: 0.000 0.000 0.000 x1
Tl: 0.000 0.000 0.399 x1
Tl: 0.500 0.500 0.671 x1
Re: 0.500 0.500 0.214 x1

[6]
The following is a PBE calculation of crystalline LaTl2Re at its relaxed geometry, from Alexandria.

Values from the calculation:
The calculation puts the density of states at the Fermi level at 0.5550 states/eV/atom. For the total energy, the calculation gives -40.85 eV/cell. The energy relative to the elements is 9.71 kcal/mol of atoms. The calculation puts the energy above the most stable polymorph in this dataset at 11 meV/atom.

Lattice parameters (Å, degrees): 3.340 4.694 13.480 90.00 90.00 90.00
Space group Imm2 (No. 44)
Unique sites:
La: 0.000 0.000 0.000 x2
Tl: 0.000 0.000 0.356 x2
Tl: 0.000 0.500 0.181 x2
Re: 0.000 0.500 0.678 x2

[7]
The following is a PBE calculation of crystalline La2TlRe at its relaxed geometry, from Alexandria.

Values from the calculation:
The calculation puts the density of states at the Fermi level at 1.0178 states/eV/atom. For the total energy, the calculation gives -70.47 eV/cell. The energy relative to the elements is 6.80 kcal/mol of atoms. The calculation puts the energy above the most stable polymorph in this dataset at 249 meV/atom.

Lattice parameters (Å, degrees): 3.6322 3.6322 30.1377 90.00 90.00 120.00
Space group R-3m (No. 166, hexagonal axes)
Unique sites:
La: 0.0000 0.0000 0.2365 x6
Tl: 0.0000 0.0000 0.0000 x3
Re: 0.0000 0.0000 0.5000 x3

[8]
The following is a PBE calculation of crystalline La2TlRe at its relaxed geometry, from Alexandria.

Values from the calculation:
The calculation puts the density of states at the Fermi level at 1.3080 states/eV/atom. For the total energy, the calculation gives -46.84 eV/cell. The energy relative to the elements is 7.21 kcal/mol of atoms. The calculation puts the energy above the most stable polymorph in this dataset at 268 meV/atom.

Lattice parameters (Å, degrees): 4.678 4.678 9.171 90.00 90.00 90.00
Space group I-4m2 (No. 119)
Unique sites:
La: 0.000 0.000 0.000 x2
La: 0.000 0.500 0.250 x2
Tl: 0.000 0.000 0.500 x2
Re: 0.000 0.500 0.750 x2

[9]
The following is a PBE calculation of crystalline LaTlZn2Re at its relaxed geometry, from Alexandria.

Values from the calculation:
The calculation puts the density of states at the Fermi level at 1.0333 states/eV/atom. For the total energy, the calculation gives -17.30 eV/cell. The energy relative to the elements is 22.99 kcal/mol of atoms.

Lattice parameters (Å, degrees): 4.918 4.918 5.372 90.00 90.00 90.00
Space group P4/mmm (No. 123)
Unique sites:
La: 0.000 0.000 0.000 x1
Tl: 0.500 0.500 0.500 x1
Zn: 0.000 0.500 0.500 x2
Re: 0.500 0.500 0.000 x1

[10]
The following is a PBE calculation of crystalline LaTm2Re at its relaxed geometry, from Alexandria.

Values from the calculation:
The calculation puts the density of states at the Fermi level at 1.2429 states/eV/atom. For the total energy, the calculation gives -75.59 eV/cell. The energy relative to the elements is 6.47 kcal/mol of atoms.

Lattice parameters (Å, degrees): 3.4382 3.4382 31.4302 90.00 90.00 120.00
Space group R-3m (No. 166, hexagonal axes)
Unique sites:
La: 0.0000 0.0000 0.0000 x3
Tm: 0.0000 0.0000 0.2312 x6
Re: 0.0000 0.0000 0.5000 x3

[11]
The following is a PBE calculation of crystalline La2VRe at its relaxed geometry, from Alexandria.

Values from the calculation:
The calculation puts the density of states at the Fermi level at 1.1604 states/eV/atom. For the total energy, the calculation gives -116.82 eV/cell. The energy relative to the elements is 12.78 kcal/mol of atoms. The calculation puts the energy above the most stable polymorph in this dataset at 0 meV/atom.

Lattice parameters (Å, degrees): 7.264 7.264 7.264 90.00 90.00 90.00
Space group Fm-3m (No. 225)
Unique sites:
La: 0.250 0.250 0.250 x8
V: 0.000 0.000 0.000 x4
Re: 0.000 0.000 0.500 x4

[12]
The following is a PBE calculation of crystalline LaVRe3 at its relaxed geometry, from Alexandria.

Values from the calculation:
The calculation puts the density of states at the Fermi level at 1.5471 states/eV/atom. For the total energy, the calculation gives -36.62 eV/cell. The energy relative to the elements is 68.14 kcal/mol of atoms. The calculation puts the energy above the most stable polymorph in this dataset at 1946 meV/atom.

Lattice parameters (Å, degrees): 4.764 4.764 4.764 90.00 90.00 90.00
Space group Pm-3m (No. 221)
Unique sites:
La: 0.000 0.000 0.000 x1
V: 0.500 0.500 0.500 x1
Re: 0.000 0.000 0.500 x3